Crystalline PPtRhO2 at its relaxed geometry. Source: Alexandria, functional GGA-PBE.

POSCAR file:
```
PPtRhO2
1.0
-1.024 -3.107 -1.629
-1.255 -1.261 3.192
-5.109 2.268 -1.114
P Rh O Pt
1 1 2 1
Cartesian
-2.555 1.134 -0.557
0.000 0.000 0.000
-0.628 -0.630 1.596
-0.512 -1.553 -0.815
-3.694 -1.050 0.225
```

Computed properties:
Its energy above the most stable polymorph in this dataset is 0.0 meV/atom. The space group is P4/mmm (123). The formation energy from raw total energies is 0.057 eV per atom.



Crystalline BeZnF2 at its relaxed geometry. Source: Alexandria, functional GGA-PBE.

POSCAR file:
```
BeZnF2
1.0
-0.235 4.906 1.920
-4.882 -0.925 1.767
-1.157 0.789 5.085
Be Zn F
2 2 4
Cartesian
-2.558 1.991 1.844
-4.299 0.927 4.348
0.000 0.000 0.000
-1.975 3.843 4.424
-0.987 1.921 2.212
-3.429 1.460 3.096
-4.008 1.853 5.639
-4.124 4.306 6.598
```

Computed properties:
Its energy above the most stable polymorph in this dataset is 61.4 meV/atom. The space group is Fd-3m (227). The formation energy from raw total energies is -2.058 eV per atom.



Crystalline CdTcAg2 at its relaxed geometry. Source: Alexandria, functional GGA-PBE.

POSCAR file:
```
CdTcAg2
1.0
4.842 0.000 0.000
0.000 2.729 -0.035
0.000 0.549 5.312
Ag Cd Tc
2 1 1
Cartesian
0.000 0.628 5.267
0.000 1.560 2.684
2.421 0.820 1.319
2.421 2.459 3.958
```

Computed properties:
The calculation puts the formation energy at 0.44 eV/atom. The space group is P2/m (10).



Crystalline La3SiIr at its relaxed geometry. Source: Alexandria, functional GGA-PBE.

POSCAR file:
```
La3SiIr
1.0
5.520 0.000 0.000
0.000 5.520 0.000
0.000 0.000 5.520
Si Ir La
1 1 3
Cartesian
2.760 2.760 2.760
0.000 0.000 0.000
0.000 2.760 0.000
0.000 0.000 2.760
2.760 0.000 0.000
```

Computed properties:
Its energy above the most stable polymorph in this dataset is 0.0 meV/atom. The space group is Pm-3m (221). The formation energy from raw total energies is -0.268 eV per atom.